First-principles (GGA-PBE) data for an optimized crystal structure of RbZrGaCl6, as listed in Alexandria via LeMat-Bulk.

## Properties
Calculated volume ... 634.78 Å³ per cell
Magnetic moment ... 0.000 μB per formula unit
Crystal system ... trigonal
DOS(E_F) ... 0.0 states/eV per cell
Raw total energy ... -76.806 eV/cell
Symmetry ... P-31c

Cell lengths 7.3462, 7.3462, 13.5821 Å; angles 90.00, 90.00, 120.00 degrees
Fractional coordinates of all 18 atoms:
Rb 0.0000 0.0000 0.0000
Rb 0.0000 0.0000 0.5000
Zr 0.3333 0.6667 0.2500
Zr 0.6667 0.3333 0.7500
Ga 0.3333 0.6667 0.7500
Ga 0.6667 0.3333 0.2500
Cl 0.0494 0.3949 0.1441
Cl 0.0494 0.6545 0.3559
Cl 0.3455 0.3949 0.3559
Cl 0.3455 0.9506 0.1441
Cl 0.3949 0.0494 0.6441
Cl 0.3949 0.3455 0.8559
Cl 0.6051 0.6545 0.1441
Cl 0.6051 0.9506 0.3559
Cl 0.6545 0.0494 0.8559
Cl 0.6545 0.6051 0.6441
Cl 0.9506 0.3455 0.6441
Cl 0.9506 0.6051 0.8559